(1)
A geometry-optimized RbLi2ZnAg structure. Source: the Alexandria database, functional GGA-PBE.

Properties
* electronic total energy: -1.715 eV per atom
* total moment: 0.0 μB/cell
* space-group type: P4/mmm
* ΔH_f (0 K): 0.069 eV/atom

Cell lengths 5.2809, 5.2809, 5.1430 Å; angles 90.00, 90.00, 90.00 degrees
Element x y z (fractional)
Rb: 0.0000 0.0000 0.0000
Li: 0.0000 0.5000 0.5000
Li: 0.5000 0.0000 0.5000
Zn: 0.5000 0.5000 0.0000
Ag: 0.5000 0.5000 0.5000


(2)
A geometry-optimized Tb3DyAu4 structure. Source: the Alexandria database, functional GGA-PBE.

Properties
* electronic total energy: -4.623 eV per atom
* total moment: 0.0 μB/cell
* space-group type: Immm
* distance to the lowest polymorph of the same formula: 180 meV/atom
* ΔH_f (0 K): -0.673 eV/atom

Cell lengths 8.8239, 8.8239, 8.8239 Å; angles 155.30, 133.25, 53.58 degrees
Element x y z (fractional)
Tb: 0.0000 0.0000 0.0000
Tb: 0.2946 0.7946 0.5000
Tb: 0.7054 0.2054 0.5000
Dy: 0.5000 0.5000 0.0000
Au: 0.0765 0.3708 0.7057
Au: 0.3350 0.6292 0.7057
Au: 0.6650 0.3708 0.2943
Au: 0.9235 0.6292 0.2943


Number 1: DOS(E_F) 2.7 states/eV/cell. Number 2: DOS(E_F) 8.0 states/eV/cell.